Density functional theory data (PBE-GGA) for a relaxed Ac2InH crystal.

- E above lowest polymorph (meV per atom) = 0
- density (g/cm³) = 8.12

Cell lengths 8.377, 4.976, 11.189 Å; angles 90.00, 90.00, 90.00 degrees
Element x y z (fractional)
Ac1 0.051 0.250 0.171
Ac2 0.130 0.250 0.582
Ac3 0.370 0.750 0.082
Ac4 0.449 0.750 0.671
Ac5 0.551 0.250 0.329
Ac6 0.630 0.250 0.918
Ac7 0.870 0.750 0.418
Ac8 0.949 0.750 0.829
In1 0.234 0.250 0.874
In2 0.266 0.750 0.374
In3 0.734 0.250 0.626
In4 0.766 0.750 0.126
H1 0.140 0.750 0.651
H2 0.360 0.250 0.151
H3 0.640 0.750 0.849
H4 0.860 0.250 0.349

---

Density functional theory data (PBE-GGA) for a relaxed MgHg2Cl crystal.

- uncorrected formation energy (meV/atom) = -258
- E above lowest polymorph (meV per atom) = 347
- density (g/cm³) = 7.83

Cell lengths 5.633, 5.633, 5.633 Å; angles 131.66, 131.66, 70.77 degrees
Element x y z (fractional)
Mg1 0.000 0.000 0.000
Hg1 0.500 0.500 0.000
Hg2 0.750 0.250 0.500
Cl1 0.250 0.750 0.500

---

Density functional theory data (PBE-GGA) for a relaxed Ho3InPb crystal.

- energy of formation from the pure elements (eV/atom) = -0.295
- density (g/cm³) = 9.65

Cell lengths 8.653, 8.653, 11.078 Å; angles 96.10, 96.10, 43.01 degrees
Element x y z (fractional)
Ho1 0.175 0.216 0.260
Ho2 0.204 0.708 0.990
Ho3 0.216 0.175 0.760
Ho4 0.292 0.796 0.510
Ho5 0.387 0.411 0.227
Ho6 0.411 0.387 0.727
Ho7 0.589 0.613 0.273
Ho8 0.613 0.589 0.773
Ho9 0.708 0.204 0.490
Ho10 0.784 0.825 0.240
Ho11 0.796 0.292 0.010
Ho12 0.825 0.784 0.740
In1 0.117 0.566 0.473
In2 0.434 0.883 0.027
In3 0.566 0.117 0.973
In4 0.883 0.434 0.527
Pb1 0.000 0.500 0.000
Pb2 0.001 0.999 0.250
Pb3 0.500 0.000 0.500
Pb4 0.999 0.001 0.750

---

Density functional theory data (PBE-GGA) for a relaxed Cr2SnAs crystal.

- energy of formation from the pure elements (eV/atom) = 0.393
- density (g/cm³) = 6.48

Cell lengths 5.867, 5.867, 5.867 Å; angles 105.11, 105.11, 118.60 degrees
Element x y z (fractional)
Cr1 0.084 0.625 0.959
Cr2 0.375 0.334 0.459
Cr3 0.666 0.125 0.041
Cr4 0.875 0.916 0.541
Sn1 0.250 0.750 0.500
Sn2 0.500 0.500 0.000
As1 0.000 0.000 0.000
As2 0.750 0.250 0.500

---

> Look up the density of the first one.

8.12 g/cm³